{
  "formula": "La6TlHg",
  "functional": "PBE",
  "state": "optimized geometry",
  "lattice_angstrom": [[5.412, 0.000, 0.000], [0.000, 5.412, 0.000], [0.000, 0.000, 18.351]],
  "species": ["La", "La", "La", "La", "La", "La", "La", "La", "La", "La", "La", "La", "Tl", "Tl", "Hg", "Hg"],
  "fractional_positions": [[0.000, 0.000, 0.249], [0.000, 0.000, 0.751], [0.000, 0.500, 0.113], [0.000, 0.500, 0.387], [0.000, 0.500, 0.613], [0.000, 0.500, 0.887], [0.500, 0.000, 0.113], [0.500, 0.000, 0.387], [0.500, 0.000, 0.613], [0.500, 0.000, 0.887], [0.500, 0.500, 0.251], [0.500, 0.500, 0.749], [0.000, 0.000, 0.000], [0.500, 0.500, 0.500], [0.000, 0.000, 0.500], [0.500, 0.500, 0.000]],
  "n_ef_per_ev_cell": 21.4,
  "de_polymorph_ev_per_atom": 0.0000,
  "spacegroup": "I4/mmm",
  "formation_enthalpy_0k_mev_per_atom": -223,
  "dft_energy_ev_per_cell": -68.026
}